Entry 1:
AcLaIrRh | Alexandria via LeMat-Bulk | PBE-GGA | optimized geometry; distance to the lowest polymorph of the same formula = 0.00 eV/f.u.; space group = No. 38; VASP energy = -6.98 eV per atom
1.0
4.3563 0.0000 0.0000
0.0000 2.0382 5.6707
0.0000 -2.0382 5.6707
Ac La Ir Rh
1 1 1 1
Cartesian
0.0000 0.0000 0.0000
2.1781 0.0000 3.1633
2.1781 0.0000 6.3628
0.0000 0.0000 8.2576

Entry 2:
Ac2La2Ir2Rh | Alexandria via LeMat-Bulk | PBE-GGA | optimized geometry; space group = No. 12; VASP energy = -6.78 eV per atom
1.0
7.1977 -2.0391 0.0000
7.1977 2.0391 0.0000
-4.0872 0.0000 7.1738
Ac La Ir Rh
2 2 2 1
Cartesian
-0.5872 0.0000 1.8406
10.8953 0.0000 5.3332
3.1953 0.0000 1.5018
7.1129 0.0000 5.6720
1.5717 0.0000 6.8805
8.7365 0.0000 0.2933
5.1541 0.0000 3.5869

Calculated formation energy / eV per atom: -0.665; -0.614
DOS at the Fermi energy / states/eV/cell: 2.2; 4.4